A) Compound: Pr7Sm3Y2
Source: Alexandria
Functional: PBE-GGA
Structure: optimized geometry

Summary:
N(E_F): 1.422 states/eV/atom
Space-group type: No. 10

The structure in CIF format:
```
data_Pr7Sm3Y2
_cell_length_a 5.997
_cell_length_b 3.646
_cell_length_c 19.406
_cell_angle_alpha 90.00
_cell_angle_beta 93.44
_cell_angle_gamma 90.00
_space_group_name_H-M_alt 'P 1'
_space_group_IT_number 1
loop_
_space_group_symop_operation_xyz
'x,y,z'
loop_
_atom_site_label
_atom_site_type_symbol
_atom_site_fract_x
_atom_site_fract_y
_atom_site_fract_z
Pr1 Pr 0.000 0.000 0.000
Pr2 Pr 0.182 0.500 0.183
Pr3 Pr 0.257 0.500 0.535
Pr4 Pr 0.321 0.000 0.855
Pr5 Pr 0.679 0.000 0.145
Pr6 Pr 0.743 0.500 0.465
Pr7 Pr 0.818 0.500 0.817
Sm1 Sm 0.220 0.000 0.367
Sm2 Sm 0.500 0.500 0.000
Sm3 Sm 0.780 0.000 0.633
Y1 Y 0.290 0.500 0.703
Y2 Y 0.710 0.500 0.297
```

***

B) Compound: Pr7Sm3Y2
Source: Alexandria
Functional: PBE-GGA
Structure: optimized geometry

Summary:
N(E_F): 1.509 states/eV/atom
Space-group type: No. 10

The structure in CIF format:
```
data_Pr7Sm3Y2
_cell_length_a 6.576
_cell_length_b 3.605
_cell_length_c 17.891
_cell_angle_alpha 90.00
_cell_angle_beta 95.90
_cell_angle_gamma 90.00
_space_group_name_H-M_alt 'P 1'
_space_group_IT_number 1
loop_
_space_group_symop_operation_xyz
'x,y,z'
loop_
_atom_site_label
_atom_site_type_symbol
_atom_site_fract_x
_atom_site_fract_y
_atom_site_fract_z
Pr1 Pr 0.000 0.000 0.000
Pr2 Pr 0.224 0.500 0.171
Pr3 Pr 0.257 0.500 0.494
Pr4 Pr 0.275 0.000 0.832
Pr5 Pr 0.725 0.000 0.168
Pr6 Pr 0.743 0.500 0.506
Pr7 Pr 0.776 0.500 0.829
Sm1 Sm 0.455 0.000 0.339
Sm2 Sm 0.500 0.500 0.000
Sm3 Sm 0.545 0.000 0.661
Y1 Y 0.058 0.500 0.670
Y2 Y 0.942 0.500 0.330
```

***

Verdict on stability: B) comes out on top.

***

A) Compound: Pr4Sm2Y
Source: Alexandria
Functional: PBE-GGA
Structure: optimized geometry

Summary:
N(E_F): 1.246 states/eV/atom
Space-group type: No. 166

The structure in CIF format:
```
data_Pr4Sm2Y
_cell_length_a 21.006
_cell_length_b 21.006
_cell_length_c 21.006
_cell_angle_alpha 10.03
_cell_angle_beta 10.03
_cell_angle_gamma 10.03
_space_group_name_H-M_alt 'P 1'
_space_group_IT_number 1
loop_
_space_group_symop_operation_xyz
'x,y,z'
loop_
_atom_site_label
_atom_site_type_symbol
_atom_site_fract_x
_atom_site_fract_y
_atom_site_fract_z
Pr1 Pr 0.142 0.142 0.142
Pr2 Pr 0.286 0.286 0.286
Pr3 Pr 0.714 0.714 0.714
Pr4 Pr 0.858 0.858 0.858
Sm1 Sm 0.428 0.428 0.428
Sm2 Sm 0.572 0.572 0.572
Y1 Y 0.000 0.000 0.000
```

***

B) Compound: Pr4Sm2Y
Source: Alexandria
Functional: PBE-GGA
Structure: optimized geometry

Summary:
N(E_F): 1.604 states/eV/atom
Space-group type: No. 43

The structure in CIF format:
```
data_Pr4Sm2Y
_cell_length_a 12.744
_cell_length_b 6.928
_cell_length_c 13.742
_cell_angle_alpha 66.99
_cell_angle_beta 30.02
_cell_angle_gamma 82.99
_space_group_name_H-M_alt 'P 1'
_space_group_IT_number 1
loop_
_space_group_symop_operation_xyz
'x,y,z'
loop_
_atom_site_label
_atom_site_type_symbol
_atom_site_fract_x
_atom_site_fract_y
_atom_site_fract_z
Pr1 Pr 0.020 0.980 0.121
Pr2 Pr 0.129 0.371 0.230
Pr3 Pr 0.371 0.129 0.270
Pr4 Pr 0.448 0.607 0.264
Pr5 Pr 0.569 0.986 0.643
Pr6 Pr 0.607 0.448 0.681
Pr7 Pr 0.980 0.020 0.879
Pr8 Pr 0.986 0.569 0.802
Sm1 Sm 0.063 0.539 0.008
Sm2 Sm 0.242 0.860 0.187
Sm3 Sm 0.539 0.063 0.390
Sm4 Sm 0.860 0.242 0.711
Y1 Y 0.497 0.497 0.503
Y2 Y 0.747 0.747 0.753
```

***

Verdict on stability: A) comes out on top.

***

A) Compound: Pr3Sm4Y2
Source: Alexandria
Functional: PBE-GGA
Structure: optimized geometry

Summary:
N(E_F): 1.348 states/eV/atom
Space-group type: No. 12

The structure in CIF format:
```
data_Pr3Sm4Y2
_cell_length_a 8.172
_cell_length_b 8.172
_cell_length_c 10.912
_cell_angle_alpha 103.16
_cell_angle_beta 103.16
_cell_angle_gamma 25.79
_space_group_name_H-M_alt 'P 1'
_space_group_IT_number 1
loop_
_space_group_symop_operation_xyz
'x,y,z'
loop_
_atom_site_label
_atom_site_type_symbol
_atom_site_fract_x
_atom_site_fract_y
_atom_site_fract_z
Pr1 Pr 0.000 0.000 0.000
Pr2 Pr 0.334 0.334 0.445
Pr3 Pr 0.666 0.666 0.555
Sm1 Sm 0.001 0.001 0.668
Sm2 Sm 0.333 0.333 0.110
Sm3 Sm 0.667 0.667 0.890
Sm4 Sm 0.999 0.999 0.332
Y1 Y 0.333 0.333 0.778
Y2 Y 0.667 0.667 0.222
```

***

B) Compound: Pr3Sm4Y2
Source: Alexandria
Functional: PBE-GGA
Structure: optimized geometry

Summary:
N(E_F): 1.848 states/eV/atom
Space-group type: No. 156

The structure in CIF format:
```
data_Pr3Sm4Y2
_cell_length_a 3.649
_cell_length_b 3.649
_cell_length_c 27.109
_cell_angle_alpha 90.00
_cell_angle_beta 90.00
_cell_angle_gamma 120.00
_space_group_name_H-M_alt 'P 1'
_space_group_IT_number 1
loop_
_space_group_symop_operation_xyz
'x,y,z'
loop_
_atom_site_label
_atom_site_type_symbol
_atom_site_fract_x
_atom_site_fract_y
_atom_site_fract_z
Pr1 Pr 0.000 0.000 0.000
Pr2 Pr 0.000 0.000 0.338
Pr3 Pr 0.667 0.333 0.671
Sm1 Sm 0.000 0.000 0.559
Sm2 Sm 0.000 0.000 0.783
Sm3 Sm 0.667 0.333 0.231
Sm4 Sm 0.667 0.333 0.452
Y1 Y 0.667 0.333 0.106
Y2 Y 0.667 0.333 0.888
```

***

Verdict on stability: A) comes out on top.

***

A) Compound: PrSm3Y6
Source: Alexandria
Functional: PBE-GGA
Structure: optimized geometry

Summary:
N(E_F): 1.535 states/eV/atom
Space-group type: No. 36

The structure in CIF format:
```
data_PrSm3Y6
_cell_length_a 11.008
_cell_length_b 11.008
_cell_length_c 6.374
_cell_angle_alpha 90.00
_cell_angle_beta 90.00
_cell_angle_gamma 119.59
_space_group_name_H-M_alt 'P 1'
_space_group_IT_number 1
loop_
_space_group_symop_operation_xyz
'x,y,z'
loop_
_atom_site_label
_atom_site_type_symbol
_atom_site_fract_x
_atom_site_fract_y
_atom_site_fract_z
Pr1 Pr 0.199 0.801 0.500
Pr2 Pr 0.801 0.199 0.000
Sm1 Sm 0.064 0.288 0.313
Sm2 Sm 0.288 0.064 0.813
Sm3 Sm 0.389 0.611 0.424
Sm4 Sm 0.611 0.389 0.924
Sm5 Sm 0.712 0.936 0.313
Sm6 Sm 0.936 0.712 0.813
Y1 Y 0.043 0.957 0.237
Y2 Y 0.049 0.466 0.724
Y3 Y 0.275 0.725 0.010
Y4 Y 0.289 0.380 0.897
Y5 Y 0.380 0.289 0.397
Y6 Y 0.466 0.049 0.224
Y7 Y 0.534 0.951 0.724
Y8 Y 0.620 0.711 0.897
Y9 Y 0.711 0.620 0.397
Y10 Y 0.725 0.275 0.510
Y11 Y 0.951 0.534 0.224
Y12 Y 0.957 0.043 0.737
```

***

B) Compound: PrSm3Y6
Source: Alexandria
Functional: PBE-GGA
Structure: optimized geometry

Summary:
N(E_F): 2.088 states/eV/atom
Space-group type: No. 155

The structure in CIF format:
```
data_PrSm3Y6
_cell_length_a 6.956
_cell_length_b 6.956
_cell_length_c 6.956
_cell_angle_alpha 91.69
_cell_angle_beta 91.69
_cell_angle_gamma 91.69
_space_group_name_H-M_alt 'P 1'
_space_group_IT_number 1
loop_
_space_group_symop_operation_xyz
'x,y,z'
loop_
_atom_site_label
_atom_site_type_symbol
_atom_site_fract_x
_atom_site_fract_y
_atom_site_fract_z
Pr1 Pr 0.000 0.000 0.000
Sm1 Sm 0.252 0.252 0.252
Sm2 Sm 0.500 0.500 0.500
Sm3 Sm 0.748 0.748 0.748
Y1 Y 0.000 0.328 0.672
Y2 Y 0.174 0.826 0.500
Y3 Y 0.328 0.672 0.000
Y4 Y 0.500 0.174 0.826
Y5 Y 0.672 0.000 0.328
Y6 Y 0.826 0.500 0.174
```

***

Verdict on stability: A) comes out on top.